Record 1
# KRb2Na16 (PBE, relaxed)
data_KRb2Na16
_chemical_formula_sum 'K3 Rb6 Na48'
_cell_length_a 12.5982
_cell_length_b 12.5982
_cell_length_c 18.3802
_cell_angle_alpha 90.00
_cell_angle_beta 90.00
_cell_angle_gamma 120.00
_symmetry_space_group_name_H-M 'R 3 m'
_symmetry_Int_Tables_number 160
_symmetry_space_group_name_Hall 'R 3 -2"'
loop_
_atom_site_label
_atom_site_fract_x
_atom_site_fract_y
_atom_site_fract_z
K1 0.0000 0.0000 0.0000
Rb1 0.0000 0.0000 0.2493
Rb2 0.0000 0.0000 0.5582
Na1 0.0000 0.0000 0.7955
Na2 0.9999 0.3005 0.8972
Na3 0.0140 0.5070 0.3987
Na4 0.1677 0.3355 0.3847
Na5 0.1711 0.3422 0.0800
# **Formation enthalpy at 0 K**: 0.021 eV/atom
# **Magnetic moment**: 0.00 μB per formula unit

=====

Record 2
# Ho6Tm8Sn (PBE, relaxed)
data_Ho6Tm8Sn
_chemical_formula_sum 'Ho6 Tm8 Sn1'
_cell_length_a 9.9047
_cell_length_b 9.9047
_cell_length_c 5.3785
_cell_angle_alpha 90.00
_cell_angle_beta 90.00
_cell_angle_gamma 120.00
_symmetry_space_group_name_H-M 'P -6'
_symmetry_Int_Tables_number 174
_symmetry_space_group_name_Hall 'P -6'
loop_
_atom_site_label
_atom_site_fract_x
_atom_site_fract_y
_atom_site_fract_z
Ho1 0.9999 0.5731 0.0000
Ho2 0.2098 0.0039 0.0000
Tm1 0.0000 0.0000 0.5000
Tm2 0.1999 0.4289 0.5000
Tm3 0.4240 0.2031 0.5000
Tm4 0.6667 0.3333 0.0000
Sn1 0.3333 0.6667 0.0000
# **Formation enthalpy at 0 K**: 0.020 eV/atom
# **Magnetic moment**: 0.00 μB per formula unit

=====

Record 3
# Nd3Dy6Ho2Tl (PBE, relaxed)
data_Nd3Dy6Ho2Tl
_chemical_formula_sum 'Nd6 Dy12 Ho4 Tl2'
_cell_length_a 6.1570
_cell_length_b 10.6703
_cell_length_c 11.6792
_cell_angle_alpha 90.00
_cell_angle_beta 100.17
_cell_angle_gamma 90.00
_symmetry_space_group_name_H-M 'C 1 2/m 1'
_symmetry_Int_Tables_number 12
_symmetry_space_group_name_Hall '-C 2y'
loop_
_atom_site_label
_atom_site_fract_x
_atom_site_fract_y
_atom_site_fract_z
Nd1 0.0000 0.0000 0.0000
Nd2 0.0000 0.3328 0.0000
Dy1 0.2448 0.3358 0.7432
Dy2 0.2476 0.5000 0.2555
Ho1 0.0000 0.1660 0.5000
Tl1 0.0000 0.5000 0.5000
# **Formation enthalpy at 0 K**: -0.010 eV/atom
# **Magnetic moment**: 0.02 μB per formula unit